PBE-GGA LiMn2I4, relaxed; total energy = -29.543 eV per cell; SG = I4/m; N(E_F) = 1.0 states/eV/cell; crystal system = tetragonal; E_form (uncorrected) = -441 meV/atom
1.0
7.4331 -0.9897 0.0000
-4.4464 6.0383 0.0000
-1.4934 -2.5243 6.9014
Li Mn I
1 2 4
Cartesian
1.4934 2.5243 0.0000
-2.2232 3.0191 3.4507
3.7166 -0.4949 3.4507
1.0982 -0.6497 4.2711
3.7571 1.1850 1.2759
-2.2637 1.3392 5.6254
0.3952 3.1740 2.6302

PBE-GGA Li4Pr5Hg4, relaxed; total energy = -36.615 eV per cell; SG = I4/m; N(E_F) = 13.5 states/eV/cell; DFT formation energy = -0.30 eV per atom; crystal system = tetragonal
1.0
-3.5673 -0.0261 -3.3461
3.7368 -2.3247 -7.5404
-3.3338 -8.0690 0.0424
Li Pr Hg
4 5 4
Cartesian
-3.4398 -6.6752 -7.0049
-2.5761 -5.0935 -4.3633
0.2755 -3.7446 -3.8392
-0.5882 -5.3263 -6.4808
-1.2580 -7.5364 -9.3242
-1.9064 -2.8835 -1.5198
0.0000 0.0000 0.0000
-0.0114 -2.1421 -7.1206
-3.1529 -8.2778 -3.7235
-2.1550 -2.4471 -4.8329
-1.0093 -7.9728 -6.0112
-1.4789 -4.4014 -9.1132
-1.6855 -6.0185 -1.7309

PBE-GGA MnFe2Br, relaxed; total energy = -26.357 eV per cell; SG = Amm2; N(E_F) = 2.1 states/eV/cell; crystal system = orthorhombic; E_form (uncorrected) = 353 meV/atom
1.0
-1.5006 -1.7165 -2.1254
0.1433 -2.5214 1.9351
-5.6994 0.4646 3.6487
Br Fe Mn
1 2 1
Cartesian
-4.7583 -2.9128 3.4263
-0.2748 -1.9327 1.7549
-2.1020 -1.2289 0.1909
-2.5566 -1.2486 2.8134

PBE-GGA Rb3TmNp3Se8, relaxed; total energy = -94.449 eV per cell; SG = R-3m; N(E_F) = 27.1 states/eV/cell; crystal system = trigonal; E_form (uncorrected) = -1358 meV/atom
1.0
-5.5046 -6.3718 0.4751
3.6079 2.9875 7.0127
-6.6391 5.4392 -3.9751
Rb Tm Np Se
3 1 3 8
Cartesian
0.0000 0.0000 0.0000
1.8039 1.4937 3.5063
-0.9484 -1.6922 3.7439
-3.3195 2.7196 -1.9875
-6.0718 -0.4663 -1.7500
-4.2679 1.0274 1.7563
-1.5156 4.2134 1.5188
-1.5746 1.5599 2.6793
-6.9612 0.4950 0.8334
-4.3439 -1.6091 2.9389
-4.1919 3.6640 0.5738
-6.1631 -3.1151 -0.5962
-2.3727 5.1700 4.1089
-3.3882 0.0971 -0.8355
-5.1476 1.9578 4.3481